## ScMnBe2 (PBE-GGA)

Data for a relaxed structure of ScMnBe2.

a b c (Å): 4.2225 4.2225 4.2225
angles (deg): 60.00 60.00 60.00
Last column: nearest neighbours and their distance in Å.
Positions (direct):
1 Sc 0.0000 0.0000 0.0000  4 Mn 2.59, 4 Be 2.59
2 Mn 0.7500 0.7500 0.7500  4 Be 2.59, 4 Sc 2.59
3 Be 0.2500 0.2500 0.2500  4 Be 2.59, 4 Sc 2.59
4 Be 0.5000 0.5000 0.5000  4 Mn 2.59, 4 Be 2.59

Properties
symmetry = F-43m
ΔE_f = 0.2814 eV/atom
excess energy over the best structure of this formula in the dataset = 0.3237 eV per atom
total DFT energy (no corrections) = -5.457 eV/atom
DOS(E_F) = 1.40 states/eV/atom

## ScMnBe2 (PBE-GGA)

Data for a relaxed structure of ScMnBe2.

a b c (Å): 2.7939 2.7939 6.5342
angles (deg): 90.00 90.00 90.00
Last column: nearest neighbours and their distance in Å.
Positions (direct):
1 Sc 0.0000 0.0000 0.0000  4 Mn 2.79, 4 Sc 2.79, 4 Be 2.86
2 Mn 0.5000 0.5000 0.6980  5 Be 2.43-2.49
3 Be 0.0000 0.0000 0.4823  4 Be 2.25, 4 Mn 2.43
4 Be 0.5000 0.5000 0.3169  4 Be 2.25, 1 Mn 2.49

Properties
symmetry = P4mm
ΔE_f = 0.0971 eV/atom
excess energy over the best structure of this formula in the dataset = 0.1395 eV per atom
total DFT energy (no corrections) = -5.641 eV/atom
DOS(E_F) = 0.49 states/eV/atom

## Sc2MnBe (PBE-GGA)

Data for a relaxed structure of Sc2MnBe.

a b c (Å): 4.5144 4.5144 4.5144
angles (deg): 60.00 60.00 60.00
Last column: nearest neighbours and their distance in Å.
Positions (direct):
1 Sc 0.0000 0.0000 0.0000  4 Be 2.76, 4 Sc 2.76
2 Sc 0.2500 0.2500 0.2500  4 Mn 2.76, 4 Sc 2.76
3 Mn 0.5000 0.5000 0.5000  4 Be 2.76, 4 Sc 2.76
4 Be 0.7500 0.7500 0.7500  4 Mn 2.76, 4 Sc 2.76

Properties
symmetry = F-43m
ΔE_f = 0.2004 eV/atom
total DFT energy (no corrections) = -6.189 eV/atom
DOS(E_F) = 1.36 states/eV/atom